Below is Rb2Mn3CuF12 after structural relaxation, with properties calculated at the PBE with a Hubbard U level.

Cell lengths 7.338, 7.338, 7.338 Å; angles 59.71, 59.71, 59.71 degrees
Each line ends with the local moment (μB).
Fractional coordinates of all 18 atoms:
Rb: 0.624 0.624 0.624  0.00
Rb: 0.376 0.376 0.376  0.00
Mn: 0.000 0.500 0.000  2.13
Mn: 0.000 0.000 0.500  2.13
Mn: 0.500 0.000 0.000  2.13
F: 0.083 0.684 0.684  -0.02
F: 0.921 0.921 0.345  -0.01
F: 0.316 0.917 0.316  -0.02
F: 0.079 0.079 0.655  -0.01
F: 0.655 0.079 0.079  -0.01
F: 0.316 0.316 0.917  -0.02
F: 0.345 0.921 0.921  -0.01
F: 0.684 0.684 0.083  -0.02
F: 0.079 0.655 0.079  -0.01
F: 0.684 0.083 0.684  -0.02
F: 0.921 0.345 0.921  -0.01
F: 0.917 0.316 0.316  -0.02
Cu: 0.000 0.000 0.000  -0.38

Summary:
For the total energy, the calculation gives -90.51 eV/cell.